! La2YTe (SCAN, PBEsol geometry); values from VASP
! Formation energy (no corrections)   -2.78 eV per formula unit
&SYSTEM
  ibrav = 0, nat = 4, ntyp = 3
/
ATOMIC_SPECIES
La 138.91 La.upf
Y 88.91 Y.upf
Te 127.60 Te.upf
ATOMIC_POSITIONS angstrom
La 1.932 1.932 2.264
La 0.000 0.000 7.975
Y 1.932 1.932 5.799
Te 0.000 0.000 4.281
CELL_PARAMETERS angstrom
3.863 0.000 0.000
0.000 3.863 0.000
0.000 0.000 8.128